The following is a PBE calculation of crystalline DyPuZnTc at its relaxed geometry, from the Alexandria database.

Properties
V: 20.9 Å³ per atom
Space group: F-43m (216)
E: -7.65 eV per atom

a b c (Å): 4.9075 4.9075 4.9075
angles (deg): 60.00 60.00 60.00
Last column: nearest neighbours and their distance in Å.
Fractional positions:
Zn 0.0000 0.0000 0.0000  4 Dy 3.01, 4 Pu 3.01
Dy 0.2500 0.2500 0.2500  4 Tc 3.01, 4 Zn 3.01
Tc 0.5000 0.5000 0.5000  4 Pu 3.01, 4 Dy 3.01
Pu 0.7500 0.7500 0.7500  4 Zn 3.01, 4 Tc 3.01